[1]
BaTlPbAuF | PBE | relaxed Values from VASP.

Computed properties:
- Calculated density: 8.74 g/cm³
- Formation energy without anion corrections: -1.252 eV per atom
- Electronic total energy: -3.881 eV per atom

The structure in Quantum ESPRESSO input format:
```
&SYSTEM
  ibrav = 0, nat = 5, ntyp = 5
/
ATOMIC_SPECIES
Ba 137.33 Ba.upf
Tl 204.38 Tl.upf
Pb 207.20 Pb.upf
Au 196.97 Au.upf
F 19.00 F.upf
CELL_PARAMETERS angstrom
2.310 1.334 7.864
-2.310 1.334 7.864
0.000 -2.668 7.864
ATOMIC_POSITIONS crystal
Ba 0.000 0.000 0.000
Tl 0.450 0.450 0.450
Pb 0.214 0.214 0.214
Au 0.839 0.839 0.839
F 0.666 0.666 0.666
```

=====

[2]
BaTlPbAuF | PBE | relaxed Values from VASP.

Computed properties:
- Calculated density: 7.13 g/cm³
- Formation energy without anion corrections: -1.100 eV per atom
- Electronic total energy: -3.729 eV per atom

The structure in Quantum ESPRESSO input format:
```
&SYSTEM
  ibrav = 0, nat = 5, ntyp = 5
/
ATOMIC_SPECIES
Ba 137.33 Ba.upf
Tl 204.38 Tl.upf
Pb 207.20 Pb.upf
Au 196.97 Au.upf
F 19.00 F.upf
CELL_PARAMETERS angstrom
4.908 0.000 0.000
0.000 4.249 0.000
-0.062 0.000 8.544
ATOMIC_POSITIONS crystal
Ba 0.000 0.000 0.000
Tl 0.005 0.500 0.507
Pb 0.504 0.000 0.396
Au 0.502 0.500 0.174
F 0.999 0.500 0.846
```

=====

[3]
BaTlPbAuF | PBE | relaxed Values from VASP.

Computed properties:
- Calculated density: 8.64 g/cm³
- Formation energy without anion corrections: -1.079 eV per atom
- Electronic total energy: -3.709 eV per atom

The structure in Quantum ESPRESSO input format:
```
&SYSTEM
  ibrav = 0, nat = 5, ntyp = 5
/
ATOMIC_SPECIES
Ba 137.33 Ba.upf
Tl 204.38 Tl.upf
Pb 207.20 Pb.upf
Au 196.97 Au.upf
F 19.00 F.upf
CELL_PARAMETERS angstrom
5.061 0.000 0.000
0.005 5.268 0.000
2.373 2.607 5.514
ATOMIC_POSITIONS crystal
Ba 0.000 0.000 0.000
Tl 0.617 0.659 0.682
Pb 0.378 0.371 0.261
Au 0.780 0.260 0.478
F 0.431 0.928 0.145
```

=====

[4]
BaTlPbAuF | PBE | relaxed Values from VASP.

Computed properties:
- Calculated density: 9.02 g/cm³
- Formation energy without anion corrections: -1.107 eV per atom
- Electronic total energy: -3.736 eV per atom

The structure in Quantum ESPRESSO input format:
```
&SYSTEM
  ibrav = 0, nat = 5, ntyp = 5
/
ATOMIC_SPECIES
Ba 137.33 Ba.upf
Tl 204.38 Tl.upf
Pb 207.20 Pb.upf
Au 196.97 Au.upf
F 19.00 F.upf
CELL_PARAMETERS angstrom
2.616 -2.617 0.000
2.616 2.617 0.000
-0.735 0.000 10.290
ATOMIC_POSITIONS crystal
Ba 0.000 0.000 0.000
Tl 0.050 0.050 0.390
Pb 0.575 0.575 0.602
Au 0.530 0.530 0.231
F 0.487 0.487 0.919
```

=====

[5]
BaTlPbAuF | PBE | relaxed Values from VASP.

Computed properties:
- Calculated density: 8.72 g/cm³
- Formation energy without anion corrections: -1.160 eV per atom
- Electronic total energy: -3.789 eV per atom

The structure in Quantum ESPRESSO input format:
```
&SYSTEM
  ibrav = 0, nat = 5, ntyp = 5
/
ATOMIC_SPECIES
Ba 137.33 Ba.upf
Tl 204.38 Tl.upf
Pb 207.20 Pb.upf
Au 196.97 Au.upf
F 19.00 F.upf
CELL_PARAMETERS angstrom
3.792 0.000 0.000
0.000 4.015 0.000
0.000 0.000 9.562
ATOMIC_POSITIONS crystal
Ba 0.000 0.000 0.000
Tl 0.500 0.000 0.636
Pb 0.000 0.500 0.402
Au 0.500 0.000 0.293
F 0.500 0.500 0.968
```

=====

[6]
BaTlPbAuF | PBE | relaxed Values from VASP.

Computed properties:
- Calculated density: 8.16 g/cm³
- Formation energy without anion corrections: -1.157 eV per atom
- Electronic total energy: -3.786 eV per atom

The structure in Quantum ESPRESSO input format:
```
&SYSTEM
  ibrav = 0, nat = 5, ntyp = 5
/
ATOMIC_SPECIES
Ba 137.33 Ba.upf
Tl 204.38 Tl.upf
Pb 207.20 Pb.upf
Au 196.97 Au.upf
F 19.00 F.upf
CELL_PARAMETERS angstrom
4.052 -2.251 0.000
4.052 2.251 0.000
-2.632 0.000 8.531
ATOMIC_POSITIONS crystal
Ba 0.000 0.000 0.000
Tl 0.209 0.209 0.612
Pb 0.460 0.460 0.381
Au 0.758 0.758 0.288
F 0.644 0.644 0.924
```

=====

One value per record, in order, for size of the total moment: 0.000 0.000 0.000 0.000 0.000 0.000 μB per formula unit.
One value per record, in order, for E above lowest polymorph: 0.0 151.7 172.1 144.6 91.9 94.7 meV/atom.